Computed, not measured: crystalline Er2InH at its relaxed geometry at the PBE-GGA level of DFT.

For the total magnetization, the calculation gives 0.0 Bohr magnetons per cell. Its density is 9.0 g/cm3. Its crystal system is tetragonal. The energy above the most stable polymorph in this dataset comes out at 382.1 meV/atom.

Cell lengths 3.3227, 3.3227, 7.5650 Å; angles 90.00, 90.00, 90.00 degrees
With the nearest neighbours (Å) after each atom.
Fractional coordinates of all 4 atoms:
Er: 0.0000 0.0000 0.2101  4 H 2.84
Er: 0.0000 0.0000 0.7899  4 H 2.84
In: 0.5000 0.5000 0.5000  8 Er 3.21, 4 In 3.32
H: 0.5000 0.5000 0.0000  8 Er 2.84